[1]
Al2FeSbI | PBE-GGA | relaxed

Properties
**Formation energy without anion corrections**: 0.7539 eV/atom

a b c (Å): 5.621 5.621 4.900
angles (deg): 90.00 90.00 90.00
Space group P4/mmm (No. 123)
Inequivalent atoms, fractional coordinates:
Al 0.000 0.500 0.000 [2 per cell]
Fe 0.000 0.000 0.500 [1 per cell]
Sb 0.000 0.000 0.000 [1 per cell]
I 0.500 0.500 0.500 [1 per cell]



[2]
AcIrF6 | PBE-GGA | relaxed

Properties
**Formation energy without anion corrections**: -2.7214 eV/atom
**Energy relative to the lowest polymorph listed for this composition**: 0 meV per atom

a b c (Å): 7.2586 7.2586 7.2829
angles (deg): 90.00 90.00 120.00
Space group R-3m (No. 166, hexagonal axes)
Inequivalent atoms, fractional coordinates:
Ac 0.0000 0.0000 0.0000 [3 per cell]
Ir 0.0000 0.0000 0.5000 [3 per cell]
F 0.0935 0.5468 0.3520 [18 per cell]



[3]
CrHSe2 | PBE-GGA | relaxed

Properties
**Energy relative to the lowest polymorph listed for this composition**: 539 meV per atom

a b c (Å): 3.687 16.559 4.874
angles (deg): 90.00 90.00 90.00
Space group Cmcm (No. 63)
Inequivalent atoms, fractional coordinates:
Cr 0.000 0.095 0.250 [4 per cell]
H 0.000 0.440 0.250 [4 per cell]
Se 0.000 0.063 0.750 [4 per cell]
Se 0.000 0.242 0.250 [4 per cell]



[4]
Dy2As7Pd12 | PBE-GGA | relaxed

Properties
**Formation energy**: -0.60 eV/atom

a b c (Å): 10.1325 10.1325 4.0690
angles (deg): 90.00 90.00 120.00
Space group P-3 (No. 147)
Inequivalent atoms, fractional coordinates:
Dy 0.3333 0.6667 0.2482 [2 per cell]
As 0.0000 0.0000 0.5000 [1 per cell]
As 0.1193 0.4123 0.7451 [6 per cell]
Pd 0.0625 0.6220 0.7473 [6 per cell]
Pd 0.1120 0.8577 0.2308 [6 per cell]



[5]
CoSb3Au | PBE-GGA | relaxed

Properties
**Formation energy without anion corrections**: 0.3576 eV/atom

a b c (Å): 4.922 4.922 4.922
angles (deg): 90.00 90.00 90.00
Space group Pm-3m (No. 221)
Inequivalent atoms, fractional coordinates:
Co 0.000 0.000 0.000 [1 per cell]
Sb 0.000 0.000 0.500 [3 per cell]
Au 0.500 0.500 0.500 [1 per cell]



[6]
Hf2In | PBE-GGA | relaxed

Properties
**Formation energy**: -0.08 eV/atom

a b c (Å): 9.958 4.383 6.315
angles (deg): 90.00 107.13 90.00
Space group C2/m (No. 12)
Inequivalent atoms, fractional coordinates:
Hf 0.000 0.000 0.000 [2 per cell]
Hf 0.000 0.000 0.500 [2 per cell]
Hf 0.169 0.500 0.335 [4 per cell]
In 0.160 0.500 0.826 [4 per cell]



[7]
VAg | PBE-GGA | relaxed

Properties
**Formation energy**: 0.73 eV/atom

a b c (Å): 11.048 11.048 2.712
angles (deg): 90.00 90.00 90.00
Space group I4/m (No. 87)
Inequivalent atoms, fractional coordinates:
V 0.171 0.274 0.000 [8 per cell]
Ag 0.036 0.821 0.500 [8 per cell]



Per-record total energy, eV/cell: -17.9; -137.9; -76.5; -116.7; -21.0; -91.6; -84.1